Record 1
Material: SiAg3
Method: DFT, PBE
State: optimized geometry

For the density of states at the Fermi level, the calculation gives 1.17 states/eV/f.u. As for the total energy: -26.4 eV for the cell shown.

The structure belongs to space group Cmmm (No. 65); the cell edges are 3.929, 4.091 and 8.631 Å and the angles 90.00°, 90.00° and 90.00°. The asymmetric unit holds Si at (0.000, 0.000, 0.000), Ag at (0.000, 0.000, 0.500) and Ag at (0.000, 0.500, 0.242).



Record 2
Material: Si3Ag
Method: DFT, PBE
State: optimized geometry

For the density of states at the Fermi level, the calculation gives 2.73 states/eV/f.u. As for the total energy: -33.2 eV for the cell shown. For the excess energy over the best structure of this formula in the dataset, the calculation gives 1.39 eV/f.u.

The structure belongs to space group Pm-3n (No. 223); the cell edges are 5.107, 5.107 and 5.107 Å and the angles 90.00°, 90.00° and 90.00°. The asymmetric unit holds Si at (0.000, 0.250, 0.500) and Ag at (0.000, 0.000, 0.000).



Record 3
Material: SiAg3
Method: DFT, PBE
State: optimized geometry

For the density of states at the Fermi level, the calculation gives 1.07 states/eV/f.u. As for the total energy: -52.9 eV for the cell shown.

The structure belongs to space group Cmcm (No. 63); the cell edges are 9.327, 8.542 and 3.825 Å and the angles 90.00°, 90.00° and 90.00°. The asymmetric unit holds Si at (0.000, 0.078, 0.250), Ag at (0.000, 0.371, 0.250) and Ag at (0.229, 0.372, 0.750).



Record 4
Material: SiAg3
Method: DFT, PBE
State: optimized geometry

For the density of states at the Fermi level, the calculation gives 2.57 states/eV/f.u. As for the total energy: -38.8 eV for the cell shown.

The structure belongs to space group R-3m (No. 166, hexagonal axes); the cell edges are 9.0732, 9.0732 and 2.9357 Å and the angles 90.00°, 90.00° and 120.00°. The asymmetric unit holds Si at (0.0000, 0.0000, 0.0000) and Ag at (0.0000, 0.5000, 0.0000).



Record 5
Material: Si3Ag
Method: DFT, PBE
State: optimized geometry

For the density of states at the Fermi level, the calculation gives 1.72 states/eV/f.u. As for the total energy: -155.4 eV for the cell shown. For the excess energy over the best structure of this formula in the dataset, the calculation gives 0.71 eV/f.u.

The structure belongs to space group R32 (No. 155, hexagonal axes); the cell edges are 5.6607, 5.6607 and 22.9425 Å and the angles 90.00°, 90.00° and 120.00°. The asymmetric unit holds Si at (0.0000, 0.4905, 0.0000), Si at (0.0142, 0.2564, 0.4336), Ag at (0.0000, 0.0000, 0.0000) and Ag at (0.0000, 0.0000, 0.1635).



Record 6
Material: Si3Ag
Method: DFT, PBE
State: optimized geometry

For the density of states at the Fermi level, the calculation gives 1.30 states/eV/f.u. As for the total energy: -70.2 eV for the cell shown. For the excess energy over the best structure of this formula in the dataset, the calculation gives 0.42 eV/f.u.

The structure belongs to space group Pnma (No. 62); the cell edges are 6.177, 7.660 and 5.953 Å and the angles 90.00°, 90.00° and 90.00°. The asymmetric unit holds Si at (0.042, 0.250, 0.108), Si at (0.130, 0.544, 0.643) and Ag at (0.194, 0.750, 0.247).



Record 7
Material: SiAg
Method: DFT, PBE
State: optimized geometry

For the density of states at the Fermi level, the calculation gives 0.10 states/eV/f.u. As for the total energy: -58.6 eV for the cell shown. For the excess energy over the best structure of this formula in the dataset, the calculation gives 0.51 eV/f.u.

The structure belongs to space group I-43m (No. 217); the cell edges are 7.650, 7.650 and 7.650 Å and the angles 90.00°, 90.00° and 90.00°. The asymmetric unit holds Si at (0.116, 0.116, 0.116) and Ag at (0.202, 0.202, 0.798).



Record 8
Material: SiAg3
Method: DFT, PBE
State: optimized geometry

For the density of states at the Fermi level, the calculation gives 1.45 states/eV/f.u. As for the total energy: -53.4 eV for the cell shown.

The structure belongs to space group Pnma (No. 62); the cell edges are 7.462, 7.932 and 4.825 Å and the angles 90.00°, 90.00° and 90.00°. The asymmetric unit holds Si at (0.139, 0.250, 0.063), Ag at (0.012, 0.750, 0.420) and Ag at (0.168, 0.564, 0.901).



Record 9
Material: Si3Ag
Method: DFT, PBE
State: optimized geometry

For the density of states at the Fermi level, the calculation gives 2.57 states/eV/f.u. As for the total energy: -69.3 eV for the cell shown. For the excess energy over the best structure of this formula in the dataset, the calculation gives 0.64 eV/f.u.

The structure belongs to space group Cmcm (No. 63); the cell edges are 7.300, 7.299 and 5.162 Å and the angles 90.00°, 90.00° and 90.00°. The asymmetric unit holds Si at (0.000, 0.249, 0.250), Si at (0.249, 0.500, 0.250) and Ag at (0.000, 0.249, 0.750).



Record 10
Material: SiAg2
Method: DFT, PBE
State: optimized geometry

For the density of states at the Fermi level, the calculation gives 0.90 states/eV/f.u. As for the total energy: -41.5 eV for the cell shown. For the excess energy over the best structure of this formula in the dataset, the calculation gives 0.12 eV/f.u.

The structure belongs to space group I4/mcm (No. 140); the cell edges are 6.580, 6.580 and 4.829 Å and the angles 90.00°, 90.00° and 90.00°. The asymmetric unit holds Si at (0.000, 0.000, 0.250) and Ag at (0.154, 0.346, 0.000).



Record 11
Material: Si3Ag4
Method: DFT, PBE
State: optimized geometry

For the density of states at the Fermi level, the calculation gives 2.51 states/eV/f.u. As for the total energy: -25.2 eV for the cell shown.

The structure belongs to space group P6/mmm (No. 191); the cell edges are 5.0568, 5.0568 and 5.4234 Å and the angles 90.00°, 90.00° and 120.00°. The asymmetric unit holds Si at (0.0000, 0.5000, 0.0000), Ag at (0.0000, 0.0000, 0.2564) and Ag at (0.3333, 0.6667, 0.5000).



Record 12
Material: SiAg
Method: DFT, PBE
State: optimized geometry

For the density of states at the Fermi level, the calculation gives 0.38 states/eV/f.u. As for the total energy: -45.7 eV for the cell shown. For the excess energy over the best structure of this formula in the dataset, the calculation gives 0.21 eV/f.u.

The structure belongs to space group Cm (No. 8); the cell edges are 9.749, 2.838 and 7.587 Å and the angles 90.00°, 99.55° and 90.00°. The asymmetric unit holds Si at (0.000, 0.000, 0.000), Si at (0.045, 0.500, 0.739), Si at (0.117, 0.500, 0.274), Ag at (0.261, 0.000, 0.681), Ag at (0.296, 0.000, 0.104) and Ag at (0.422, 0.500, 0.444).



Record 13
Material: Si5Ag3
Method: DFT, PBE
State: optimized geometry

For the density of states at the Fermi level, the calculation gives 2.09 states/eV/f.u. As for the total energy: -63.8 eV for the cell shown. For the excess energy over the best structure of this formula in the dataset, the calculation gives 0.07 eV/f.u.

The structure belongs to space group P6_3/mcm (No. 193); the cell edges are 8.1268, 8.1268 and 4.9188 Å and the angles 90.00°, 90.00° and 120.00°. The asymmetric unit holds Si at (0.0000, 0.1790, 0.2500), Si at (0.3333, 0.6667, 0.0000) and Ag at (0.0000, 0.4074, 0.7500).



Record 14
Material: SiAg
Method: DFT, PBE
State: optimized geometry

For the density of states at the Fermi level, the calculation gives 0.64 states/eV/f.u. As for the total energy: -46.5 eV for the cell shown. For the excess energy over the best structure of this formula in the dataset, the calculation gives 0.08 eV/f.u.

The structure belongs to space group Cm (No. 8); the cell edges are 11.967, 2.807 and 7.463 Å and the angles 90.00°, 121.32° and 90.00°. The asymmetric unit holds Si at (0.000, 0.000, 0.000), Si at (0.070, 0.500, 0.797), Si at (0.208, 0.000, 0.316), Ag at (0.181, 0.500, 0.580), Ag at (0.310, 0.000, 0.001) and Ag at (0.420, 0.500, 0.425).



Record 15
Material: SiAg4
Method: DFT, PBE
State: optimized geometry

For the density of states at the Fermi level, the calculation gives 1.73 states/eV/f.u. As for the total energy: -29.2 eV for the cell shown. For the excess energy over the best structure of this formula in the dataset, the calculation gives 1.74 eV/f.u.

The structure belongs to space group I4/mmm (No. 139); the cell edges are 3.751, 3.751 and 14.182 Å and the angles 90.00°, 90.00° and 90.00°. The asymmetric unit holds Si at (0.000, 0.000, 0.000), Ag at (0.000, 0.000, 0.405) and Ag at (0.000, 0.500, 0.250).



Record 16
Material: Si4Ag5
Method: DFT, PBE
State: optimized geometry

For the density of states at the Fermi level, the calculation gives 4.16 states/eV/f.u. As for the total energy: -66.0 eV for the cell shown. For the excess energy over the best structure of this formula in the dataset, the calculation gives 0.00 eV/f.u.

The structure belongs to space group I4/mmm (No. 139); the cell edges are 9.975, 9.975 and 3.066 Å and the angles 90.00°, 90.00° and 90.00°. The asymmetric unit holds Si at (0.000, 0.347, 0.000), Ag at (0.000, 0.000, 0.000) and Ag at (0.166, 0.166, 0.500).



Record 17
Material: Si3Ag
Method: DFT, PBE
State: optimized geometry

For the density of states at the Fermi level, the calculation gives 1.44 states/eV/f.u. As for the total energy: -17.4 eV for the cell shown. For the excess energy over the best structure of this formula in the dataset, the calculation gives 0.54 eV/f.u.

The structure belongs to space group Pmmm (No. 47); the cell edges are 2.622, 4.613 and 5.374 Å and the angles 90.00°, 90.00° and 90.00°. The asymmetric unit holds Si at (0.000, 0.000, 0.000), Si at (0.000, 0.500, 0.245) and Ag at (0.500, 0.000, 0.500).



Record 18
Material: SiAg
Method: DFT, PBE
State: optimized geometry

For the density of states at the Fermi level, the calculation gives 0.34 states/eV/f.u. As for the total energy: -46.8 eV for the cell shown. For the excess energy over the best structure of this formula in the dataset, the calculation gives 0.03 eV/f.u.

The structure belongs to space group R-3m (No. 166, hexagonal axes); the cell edges are 3.0498, 3.0498 and 24.5849 Å and the angles 90.00°, 90.00° and 120.00°. The asymmetric unit holds Si at (0.0000, 0.0000, 0.1297) and Ag at (0.0000, 0.0000, 0.3813).



Record 19
Material: SiAg4
Method: DFT, PBE
State: optimized geometry

For the density of states at the Fermi level, the calculation gives 1.75 states/eV/f.u. As for the total energy: -32.1 eV for the cell shown. For the excess energy over the best structure of this formula in the dataset, the calculation gives 0.30 eV/f.u.

The structure belongs to space group I4/m (No. 87); the cell edges are 6.346, 6.346 and 4.294 Å and the angles 90.00°, 90.00° and 90.00°. The asymmetric unit holds Si at (0.000, 0.000, 0.000) and Ag at (0.114, 0.303, 0.500).



Record 20
Material: SiAg4
Method: DFT, PBE
State: optimized geometry

For the density of states at the Fermi level, the calculation gives 2.27 states/eV/f.u. As for the total energy: -14.6 eV for the cell shown. For the excess energy over the best structure of this formula in the dataset, the calculation gives 1.70 eV/f.u.

The structure belongs to space group Pm-3m (No. 221); the cell edges are 4.772, 4.772 and 4.772 Å and the angles 90.00°, 90.00° and 90.00°. The asymmetric unit holds Si at (0.000, 0.000, 0.000), Ag at (0.000, 0.000, 0.500) and Ag at (0.500, 0.500, 0.500).



Record 21
Material: SiAg2
Method: DFT, PBE
State: optimized geometry

For the density of states at the Fermi level, the calculation gives 0.87 states/eV/f.u. As for the total energy: -10.5 eV for the cell shown. For the excess energy over the best structure of this formula in the dataset, the calculation gives 0.00 eV/f.u.

The structure belongs to space group P4/mmm (No. 123); the cell edges are 4.458, 4.458 and 2.882 Å and the angles 90.00°, 90.00° and 90.00°. The asymmetric unit holds Si at (0.000, 0.000, 0.000) and Ag at (0.000, 0.500, 0.500).



Record 22
Material: Si5Ag
Method: DFT, PBE
State: optimized geometry

For the density of states at the Fermi level, the calculation gives 2.72 states/eV/f.u. As for the total energy: -55.3 eV for the cell shown. For the excess energy over the best structure of this formula in the dataset, the calculation gives 0.00 eV/f.u.

The structure belongs to space group Amm2 (No. 38); the cell edges are 5.082, 3.720 and 10.709 Å and the angles 90.00°, 90.00° and 90.00°. The asymmetric unit holds Si at (0.000, 0.000, 0.000), Si at (0.000, 0.000, 0.314), Si at (0.000, 0.000, 0.657), Si at (0.500, 0.000, 0.335), Si at (0.500, 0.000, 0.976) and Ag at (0.500, 0.000, 0.655).



Record 23
Material: SiAg
Method: DFT, PBE
State: optimized geometry

For the density of states at the Fermi level, the calculation gives 0.57 states/eV/f.u. As for the total energy: -45.1 eV for the cell shown. For the excess energy over the best structure of this formula in the dataset, the calculation gives 0.31 eV/f.u.

The structure belongs to space group Pmmn (No. 59, origin choice 2); the cell edges are 4.605, 10.410 and 4.648 Å and the angles 90.00°, 90.00° and 90.00°. The asymmetric unit holds Si at (0.250, 0.131, 0.215), Si at (0.250, 0.750, 0.930), Ag at (0.250, 0.250, 0.719) and Ag at (0.250, 0.588, 0.476).



Record 24
Material: Si3Ag
Method: DFT, PBE
State: optimized geometry

For the density of states at the Fermi level, the calculation gives 0.96 states/eV/f.u. As for the total energy: -71.9 eV for the cell shown. For the excess energy over the best structure of this formula in the dataset, the calculation gives 0.00 eV/f.u.

The structure belongs to space group Cmcm (No. 63); the cell edges are 5.789, 10.586 and 4.529 Å and the angles 90.00°, 90.00° and 90.00°. The asymmetric unit holds Si at (0.000, 0.045, 0.250), Si at (0.207, 0.295, 0.750) and Ag at (0.000, 0.423, 0.250).



Record 25
Material: SiAg2
Method: DFT, PBE
State: optimized geometry

For the density of states at the Fermi level, the calculation gives 1.65 states/eV/f.u. As for the total energy: -20.5 eV for the cell shown. For the excess energy over the best structure of this formula in the dataset, the calculation gives 0.25 eV/f.u.

The structure belongs to space group P6_3/mmc (No. 194); the cell edges are 4.5435, 4.5435 and 5.8242 Å and the angles 90.00°, 90.00° and 120.00°. The asymmetric unit holds Si at (0.3333, 0.6667, 0.2500), Ag at (0.0000, 0.0000, 0.0000) and Ag at (0.3333, 0.6667, 0.7500).